4
Lattice="0.000 3.217 3.217 3.217 0.000 3.217 3.217 3.217 0.000" Properties=species:S:1:pos:R:3 comment="V2BiS (GGA-PBE, optimized geometry)" dos_ef_per_ev_cell=5.56 energy_ev_per_atom=-6.264 pbc="T T T"
V 1.609 1.609 1.609
V 4.826 4.826 4.826
S 0.000 0.000 0.000
Bi 3.217 3.217 3.217